The following is a DFT calculation (PBE-GGA) of Pr6Ho2Tm3 after structural relaxation.

Properties
**Formation energy**: 310 meV/atom
**DOS(E_F)**: 1.48 states/eV per atom
**Magnetic moment**: 0.000 μB per formula unit

a b c (Å): 4.7504 4.7504 34.2478
angles (deg): 90.00 90.00 90.00
With the nearest neighbours (Å) after each atom.
Space group I4/mmm (No. 139)
Symmetry-distinct sites (fractional):
Pr 0.0000 0.0000 0.2079  5 Tm 3.40-3.42
Pr 0.0000 0.5000 0.1194  4 Pr 3.36, 2 Tm 3.44, 2 Ho 3.49
Ho 0.0000 0.0000 0.0446  1 Ho 3.06
Tm 0.0000 0.0000 0.3078  9 Pr 3.40-3.44
Tm 0.0000 0.0000 0.5000  8 Ho 3.69